A plane-wave DFT calculation with PBE was carried out for a geometry-optimized Li3Ga3Sn2 structure.

The structure in CIF format:
```
data_Li3Ga3Sn2
_chemical_formula_sum 'Li6 Ga6 Sn4'
_cell_length_a 16.465
_cell_length_b 4.455
_cell_length_c 4.341
_cell_angle_alpha 90.00
_cell_angle_beta 102.40
_cell_angle_gamma 90.00
_space_group_name_H-M_alt 'C 1 2/m 1'
_space_group_IT_number 12
_space_group_name_Hall '-C 2y'
loop_
_atom_site_label
_atom_site_fract_x
_atom_site_fract_y
_atom_site_fract_z
Li1 0.000 0.000 0.000
Li2 0.111 0.000 0.600
Ga1 0.000 0.500 0.500
Ga2 0.106 0.500 0.080
Sn1 0.240 0.000 0.241
```

=====

A plane-wave DFT calculation with PBE was carried out for a geometry-optimized Li3Ga4Sn structure.

The structure in CIF format:
```
data_Li3Ga4Sn
_chemical_formula_sum 'Li6 Ga8 Sn2'
_cell_length_a 3.163
_cell_length_b 6.977
_cell_length_c 13.418
_cell_angle_alpha 90.00
_cell_angle_beta 90.00
_cell_angle_gamma 90.00
_space_group_name_H-M_alt 'I m m m'
_space_group_IT_number 71
_space_group_name_Hall '-I 2 2'
loop_
_atom_site_label
_atom_site_fract_x
_atom_site_fract_y
_atom_site_fract_z
Li1 0.000 0.000 0.000
Li2 0.000 0.500 0.163
Ga1 0.000 0.312 0.334
Sn1 0.000 0.000 0.500
```

=====

A plane-wave DFT calculation with PBE was carried out for a geometry-optimized LiGaSn2 structure.

The structure in CIF format:
```
data_LiGaSn2
_chemical_formula_sum 'Li3 Ga3 Sn6'
_cell_length_a 4.4642
_cell_length_b 4.4642
_cell_length_c 16.9854
_cell_angle_alpha 90.00
_cell_angle_beta 90.00
_cell_angle_gamma 120.00
_space_group_name_H-M_alt 'R 3 m'
_space_group_IT_number 160
_space_group_name_Hall 'R 3 -2"'
loop_
_atom_site_label
_atom_site_fract_x
_atom_site_fract_y
_atom_site_fract_z
Li1 0.0000 0.0000 0.0000
Ga1 0.0000 0.0000 0.8290
Sn1 0.0000 0.0000 0.2427
Sn2 0.0000 0.0000 0.4215
```

=====

A plane-wave DFT calculation with PBE was carried out for a geometry-optimized LiGa4Sn structure.

The structure in CIF format:
```
data_LiGa4Sn
_chemical_formula_sum 'Li2 Ga8 Sn2'
_cell_length_a 5.610
_cell_length_b 8.080
_cell_length_c 5.610
_cell_angle_alpha 90.00
_cell_angle_beta 90.00
_cell_angle_gamma 90.00
_space_group_name_H-M_alt 'P m m a'
_space_group_IT_number 51
_space_group_name_Hall '-P 2a 2a'
loop_
_atom_site_label
_atom_site_fract_x
_atom_site_fract_y
_atom_site_fract_z
Li1 0.250 0.000 0.249
Ga1 0.000 0.227 0.500
Ga2 0.000 0.228 0.000
Sn1 0.250 0.500 0.749
```

=====

A plane-wave DFT calculation with PBE was carried out for a geometry-optimized Li2Ga2Sn structure.

The structure in CIF format:
```
data_Li2Ga2Sn
_chemical_formula_sum 'Li4 Ga4 Sn2'
_cell_length_a 7.584
_cell_length_b 7.584
_cell_length_c 3.268
_cell_angle_alpha 90.00
_cell_angle_beta 90.00
_cell_angle_gamma 90.00
_space_group_name_H-M_alt 'P 4/m b m'
_space_group_IT_number 127
_space_group_name_Hall '-P 4 2ab'
loop_
_atom_site_label
_atom_site_fract_x
_atom_site_fract_y
_atom_site_fract_z
Li1 0.133 0.367 0.000
Ga1 0.164 0.664 0.500
Sn1 0.000 0.000 0.000
```

=====

A plane-wave DFT calculation with PBE was carried out for a geometry-optimized Li2Ga2Sn structure.

The structure in CIF format:
```
data_Li2Ga2Sn
_chemical_formula_sum 'Li8 Ga8 Sn4'
_cell_length_a 9.926
_cell_length_b 5.360
_cell_length_c 7.779
_cell_angle_alpha 90.00
_cell_angle_beta 114.37
_cell_angle_gamma 90.00
_space_group_name_H-M_alt 'C 1 2/c 1'
_space_group_IT_number 15
_space_group_name_Hall '-C 2yc'
loop_
_atom_site_label
_atom_site_fract_x
_atom_site_fract_y
_atom_site_fract_z
Li1 0.195 0.152 0.146
Ga1 0.106 0.322 0.447
Sn1 0.000 0.194 0.750
```

=====

A plane-wave DFT calculation with PBE was carried out for a geometry-optimized LiGa2Sn2 structure.

The structure in CIF format:
```
data_LiGa2Sn2
_chemical_formula_sum 'Li2 Ga4 Sn4'
_cell_length_a 4.806
_cell_length_b 4.806
_cell_length_c 11.422
_cell_angle_alpha 90.00
_cell_angle_beta 90.00
_cell_angle_gamma 90.00
_space_group_name_H-M_alt 'I 4/m m m'
_space_group_IT_number 139
_space_group_name_Hall '-I 4 2'
loop_
_atom_site_label
_atom_site_fract_x
_atom_site_fract_y
_atom_site_fract_z
Li1 0.000 0.000 0.000
Ga1 0.000 0.500 0.250
Sn1 0.000 0.000 0.376
```

=====

A plane-wave DFT calculation with PBE was carried out for a geometry-optimized Li2Ga2Sn structure.

The structure in CIF format:
```
data_Li2Ga2Sn
_chemical_formula_sum 'Li4 Ga4 Sn2'
_cell_length_a 7.749
_cell_length_b 7.749
_cell_length_c 3.077
_cell_angle_alpha 90.00
_cell_angle_beta 90.00
_cell_angle_gamma 90.00
_space_group_name_H-M_alt 'P 4/m b m'
_space_group_IT_number 127
_space_group_name_Hall '-P 4 2ab'
loop_
_atom_site_label
_atom_site_fract_x
_atom_site_fract_y
_atom_site_fract_z
Li1 0.180 0.320 0.000
Ga1 0.117 0.617 0.500
Sn1 0.000 0.000 0.500
```

=====

A plane-wave DFT calculation with PBE was carried out for a geometry-optimized Li8GaSn2 structure.

The structure in CIF format:
```
data_Li8GaSn2
_chemical_formula_sum 'Li16 Ga2 Sn4'
_cell_length_a 13.715
_cell_length_b 4.572
_cell_length_c 7.048
_cell_angle_alpha 90.00
_cell_angle_beta 118.30
_cell_angle_gamma 90.00
_space_group_name_H-M_alt 'C 1 2/m 1'
_space_group_IT_number 12
_space_group_name_Hall '-C 2y'
loop_
_atom_site_label
_atom_site_fract_x
_atom_site_fract_y
_atom_site_fract_z
Li1 0.027 0.000 0.225
Li2 0.100 0.500 0.934
Li3 0.142 0.000 0.688
Li4 0.168 0.500 0.391
Ga1 0.000 0.500 0.500
Sn1 0.215 0.000 0.158
```

=====

A plane-wave DFT calculation with PBE was carried out for a geometry-optimized Li2Ga2Sn structure.

The structure in CIF format:
```
data_Li2Ga2Sn
_chemical_formula_sum 'Li4 Ga4 Sn2'
_cell_length_a 3.942
_cell_length_b 3.942
_cell_length_c 12.668
_cell_angle_alpha 90.00
_cell_angle_beta 90.00
_cell_angle_gamma 90.00
_space_group_name_H-M_alt 'I 4/m m m'
_space_group_IT_number 139
_space_group_name_Hall '-I 4 2'
loop_
_atom_site_label
_atom_site_fract_x
_atom_site_fract_y
_atom_site_fract_z
Li1 0.000 0.500 0.250
Ga1 0.000 0.000 0.100
Sn1 0.000 0.000 0.500
```

=====

A plane-wave DFT calculation with PBE was carried out for a geometry-optimized LiGaSn3 structure.

The structure in CIF format:
```
data_LiGaSn3
_chemical_formula_sum 'Li1 Ga1 Sn3'
_cell_length_a 5.052
_cell_length_b 5.052
_cell_length_c 5.052
_cell_angle_alpha 90.00
_cell_angle_beta 90.00
_cell_angle_gamma 90.00
_space_group_name_H-M_alt 'P m -3 m'
_space_group_IT_number 221
_space_group_name_Hall '-P 4 2 3'
loop_
_atom_site_label
_atom_site_fract_x
_atom_site_fract_y
_atom_site_fract_z
Li1 0.000 0.000 0.000
Ga1 0.500 0.500 0.500
Sn1 0.000 0.000 0.500
```

=====

A plane-wave DFT calculation with PBE was carried out for a geometry-optimized Li6GaSn structure.

The structure in CIF format:
```
data_Li6GaSn
_chemical_formula_sum 'Li12 Ga2 Sn2'
_cell_length_a 4.706
_cell_length_b 5.946
_cell_length_c 10.052
_cell_angle_alpha 90.00
_cell_angle_beta 90.00
_cell_angle_gamma 90.00
_space_group_name_H-M_alt 'A m m 2'
_space_group_IT_number 38
_space_group_name_Hall 'A 2 -2'
loop_
_atom_site_label
_atom_site_fract_x
_atom_site_fract_y
_atom_site_fract_z
Li1 0.000 0.000 0.000
Li2 0.000 0.239 0.241
Li3 0.500 0.000 0.661
Li4 0.500 0.239 0.420
Ga1 0.500 0.000 0.166
Sn1 0.000 0.000 0.496
```

=====

no.,DFT total energy (eV/atom),ΔE_f (eV per atom)
1,-3.03,-0.1742
2,-2.89,-0.1633
3,-3.28,-0.0415
4,-3.01,-0.0076
5,-2.91,-0.1373
6,-3.00,-0.2234
7,-3.18,0.0153
8,-2.99,-0.2102
9,-2.68,-0.2880
10,-2.91,-0.1350
11,-3.16,0.2255
12,-2.56,-0.2508